Sm3AlCu4: relaxed, PBE-GGA.

Values from the calculation:
Calculated volume = 22.3 Å³/atom
ρ = 6812 kg/m³
Total magnetization = 0.00 μB/f.u.
ΔH_f (0 K) = -0.088 eV/atom

Cell and atoms, written as extended XYZ:
```
8
Lattice="-2.007 3.189 6.970 2.007 -3.189 6.970 2.007 3.189 -6.970" Properties=species:S:1:pos:R:3 pbc="T T T"
Sm 0.000 0.000 0.000
Sm 2.007 0.000 4.354
Sm 0.000 3.189 2.615
Al 0.000 0.000 6.970
Cu 2.007 1.247 -1.694
Cu 2.007 1.247 1.694
Cu 0.000 1.942 5.275
Cu 0.000 1.942 8.664
```